[1]
Computed, not measured: a relaxed structure of Tl3Os at the PBE-GGA level of DFT.

The structure in POSCAR format:
```
Tl3Os
1.0
5.6456 0.0000 0.0000
0.0000 5.6456 0.0000
0.0000 0.0000 5.6456
Tl Os
6 2
Direct
0.0000 0.2500 0.5000
0.0000 0.7500 0.5000
0.2500 0.5000 0.0000
0.5000 0.0000 0.2500
0.5000 0.0000 0.7500
0.7500 0.5000 0.0000
0.0000 0.0000 0.0000
0.5000 0.5000 0.5000
```

Summary:
The space-group type is No. 223. For the formation energy from the elements, the calculation gives 952 meV/atom. The energy above the most stable polymorph in this dataset comes out at 515 meV/atom.

[2]
Computed, not measured: a relaxed structure of Tl2Os at the PBE-GGA level of DFT.

The structure in POSCAR format:
```
Tl2Os
1.0
0.0000 4.2150 4.2150
4.2150 0.0000 4.2150
4.2150 4.2150 0.0000
Tl Os
4 2
Direct
0.0000 0.0000 0.0000
0.0000 0.0000 0.5000
0.0000 0.5000 0.0000
0.5000 0.0000 0.0000
0.3750 0.3750 0.3750
0.6250 0.6250 0.6250
```

Summary:
The space-group type is No. 227. For the formation energy from the elements, the calculation gives 1850 meV/atom. The energy above the most stable polymorph in this dataset comes out at 1376 meV/atom.

[3]
Computed, not measured: a relaxed structure of TlOs at the PBE-GGA level of DFT.

The structure in POSCAR format:
```
TlOs
1.0
0.0000 4.1724 7.0279
2.8490 0.0000 7.0279
2.8490 4.1724 0.0000
Tl Os
4 4
Direct
0.0456 0.7044 0.0456
0.2956 0.9544 0.2956
0.7044 0.0456 0.7044
0.9544 0.2956 0.9544
0.2890 0.2890 0.4610
0.4610 0.4610 0.2890
0.5390 0.5390 0.7110
0.7110 0.7110 0.5390
```

Summary:
The space-group type is No. 70. For the formation energy from the elements, the calculation gives 1020 meV/atom. The energy above the most stable polymorph in this dataset comes out at 417 meV/atom.

[4]
Computed, not measured: a relaxed structure of Tl4Os at the PBE-GGA level of DFT.

The structure in POSCAR format:
```
Tl4Os
1.0
6.3628 0.0000 0.0000
0.0000 6.3628 0.0000
0.0000 0.0000 6.4493
Tl Os
8 2
Direct
0.2103 0.2122 0.3288
0.2122 0.7897 0.6712
0.2878 0.2897 0.8288
0.2897 0.7122 0.1712
0.7103 0.2878 0.1712
0.7122 0.7103 0.8288
0.7878 0.2103 0.6712
0.7897 0.7878 0.3288
0.0000 0.0000 0.0000
0.5000 0.5000 0.5000
```

Summary:
The space-group type is No. 114. For the formation energy from the elements, the calculation gives 459 meV/atom. The energy above the most stable polymorph in this dataset comes out at 59 meV/atom.